Computed, not measured: InMoIO2 after structural relaxation at the PBE+U level of DFT.

Summary:
volume	104.0	Å³/cell
energy above the lowest structure with this stoichiometry	2.616	eV/f.u.
E	-21.401	eV per cell
space-group type	P4/mmm, No. 123
spin magnetization	4.51	μB/f.u.
crystal system	tetragonal

The structure in CIF format:
```
data_InMoIO2
_space_group_name_H-M_alt 'P 1'
_space_group_IT_number 1
_cell_length_a 4.156
_cell_length_b 4.156
_cell_length_c 6.024
_cell_angle_alpha 90.00
_cell_angle_beta 90.00
_cell_angle_gamma 90.00
loop_
_space_group_symop_operation_xyz
'x,y,z'
loop_
_atom_site_label
_atom_site_type_symbol
_atom_site_fract_x
_atom_site_fract_y
_atom_site_fract_z
I1 I 0.000 0.000 0.500
Mo1 Mo 0.500 0.500 0.500
O1 O 0.000 0.500 0.000
O2 O 0.500 0.000 0.000
In1 In 0.000 0.000 0.000
```